GaSbF2 | Alexandria via LeMat-Bulk | SCAN | PBEsol geometry; excess energy over the best structure of this formula in the dataset = 126 meV/atom; magnetization = 0.00 μB/cell; symmetry = R-3m, No. 166; raw total energy = -16.364 eV per atom; raw formation energy = -1.192 eV per atom
1.0
1.5168 0.8757 8.1025
-1.5168 0.8757 8.1025
0.0000 -1.7515 8.1025
Ga Sb F
1 1 2
Direct
0.0000 0.0000 0.0000 Ga
0.5000 0.5000 0.5000 Sb
0.0877 0.0877 0.0877 F
0.9123 0.9123 0.9123 F